Version i
CoBiPS2: optimized geometry, PBE-GGA. Values from VASP.

Geometry as Quantum ESPRESSO input:
```
&SYSTEM
  ibrav = 0, nat = 5, ntyp = 4
/
ATOMIC_SPECIES
Co 58.93 Co.upf
Bi 208.98 Bi.upf
P 30.97 P.upf
S 32.06 S.upf
CELL_PARAMETERS angstrom
5.184 0.000 0.000
0.000 5.184 0.000
0.000 0.000 5.265
ATOMIC_POSITIONS crystal
Co 0.000 0.000 0.000
Bi 0.500 0.500 0.500
P 0.500 0.500 0.000
S 0.000 0.500 0.500
S 0.500 0.000 0.500
```

Magnetic moment (μB/f.u.): 3.63



Version ii
CoBiPS2: optimized geometry, PBE-GGA. Values from VASP.

Geometry as Quantum ESPRESSO input:
```
&SYSTEM
  ibrav = 0, nat = 5, ntyp = 4
/
ATOMIC_SPECIES
Co 58.93 Co.upf
Bi 208.98 Bi.upf
P 30.97 P.upf
S 32.06 S.upf
CELL_PARAMETERS angstrom
4.762 0.000 0.000
0.000 4.762 0.000
0.000 0.000 4.136
ATOMIC_POSITIONS crystal
Co 0.000 0.000 0.000
Bi 0.500 0.500 0.500
P 0.000 0.000 0.500
S 0.000 0.500 0.000
S 0.500 0.000 0.000
```

Magnetic moment (μB/f.u.): 0.00



Least stable of them? version i.



Version i
Pa2Co2Bi: optimized geometry, PBE-GGA. Values from VASP.

Geometry as Quantum ESPRESSO input:
```
&SYSTEM
  ibrav = 0, nat = 5, ntyp = 3
/
ATOMIC_SPECIES
Pa 231.04 Pa.upf
Co 58.93 Co.upf
Bi 208.98 Bi.upf
CELL_PARAMETERS angstrom
2.039 -7.315 0.000
2.039 7.315 0.000
0.000 0.000 3.438
ATOMIC_POSITIONS crystal
Pa 0.149 0.851 0.000
Pa 0.851 0.149 0.000
Co 0.307 0.693 0.500
Co 0.693 0.307 0.500
Bi 0.500 0.500 0.500
```

Magnetic moment (μB/f.u.): 0.00



Version ii
Pa2Co2Bi: optimized geometry, PBE-GGA. Values from VASP.

Geometry as Quantum ESPRESSO input:
```
&SYSTEM
  ibrav = 0, nat = 10, ntyp = 3
/
ATOMIC_SPECIES
Pa 231.04 Pa.upf
Co 58.93 Co.upf
Bi 208.98 Bi.upf
CELL_PARAMETERS angstrom
7.458 0.000 0.000
0.000 7.458 0.000
0.000 0.000 3.564
ATOMIC_POSITIONS crystal
Pa 0.166 0.334 0.000
Pa 0.334 0.834 0.000
Pa 0.666 0.166 0.000
Pa 0.834 0.666 0.000
Co 0.128 0.628 0.500
Co 0.372 0.128 0.500
Co 0.628 0.872 0.500
Co 0.872 0.372 0.500
Bi 0.000 0.000 0.500
Bi 0.500 0.500 0.500
```

Magnetic moment (μB/f.u.): 0.00



Least stable of them? version ii.



Version i
Pa2CoBi: optimized geometry, PBE-GGA. Values from VASP.

Geometry as Quantum ESPRESSO input:
```
&SYSTEM
  ibrav = 0, nat = 4, ntyp = 3
/
ATOMIC_SPECIES
Pa 231.04 Pa.upf
Co 58.93 Co.upf
Bi 208.98 Bi.upf
CELL_PARAMETERS angstrom
1.969 1.137 7.576
-1.969 1.137 7.576
0.000 -2.273 7.576
ATOMIC_POSITIONS crystal
Pa 0.000 0.000 0.000
Pa 0.210 0.210 0.210
Co 0.607 0.607 0.607
Bi 0.438 0.438 0.438
```

Magnetic moment (μB/f.u.): 0.00



Version ii
Pa2CoBi: optimized geometry, PBE-GGA. Values from VASP.

Geometry as Quantum ESPRESSO input:
```
&SYSTEM
  ibrav = 0, nat = 8, ntyp = 3
/
ATOMIC_SPECIES
Pa 231.04 Pa.upf
Co 58.93 Co.upf
Bi 208.98 Bi.upf
CELL_PARAMETERS angstrom
6.407 0.000 0.000
0.000 3.747 0.000
-2.336 0.000 7.873
ATOMIC_POSITIONS crystal
Pa 0.120 0.250 0.367
Pa 0.232 0.750 0.039
Pa 0.768 0.250 0.961
Pa 0.880 0.750 0.633
Co 0.156 0.250 0.798
Co 0.844 0.750 0.202
Bi 0.403 0.750 0.688
Bi 0.597 0.250 0.312
```

Magnetic moment (μB/f.u.): 0.00



Least stable of them? version i.



Version i
Co2Bi2Pb: optimized geometry, PBE-GGA. Values from VASP.

Geometry as Quantum ESPRESSO input:
```
&SYSTEM
  ibrav = 0, nat = 5, ntyp = 3
/
ATOMIC_SPECIES
Co 58.93 Co.upf
Bi 208.98 Bi.upf
Pb 207.20 Pb.upf
CELL_PARAMETERS angstrom
-2.423 2.423 4.895
2.423 -2.423 4.895
2.423 2.423 -4.895
ATOMIC_POSITIONS crystal
Co 0.115 0.115 0.000
Co 0.885 0.885 0.000
Bi 0.250 0.750 0.500
Bi 0.750 0.250 0.500
Pb 0.500 0.500 0.000
```

Magnetic moment (μB/f.u.): 1.94



Version ii
Co2Bi2Pb: optimized geometry, PBE-GGA. Values from VASP.

Geometry as Quantum ESPRESSO input:
```
&SYSTEM
  ibrav = 0, nat = 5, ntyp = 3
/
ATOMIC_SPECIES
Co 58.93 Co.upf
Bi 208.98 Bi.upf
Pb 207.20 Pb.upf
CELL_PARAMETERS angstrom
-1.723 1.723 9.963
1.723 -1.723 9.963
1.723 1.723 -9.963
ATOMIC_POSITIONS crystal
Co 0.250 0.750 0.500
Co 0.750 0.250 0.500
Bi 0.140 0.140 0.000
Bi 0.860 0.860 0.000
Pb 0.500 0.500 0.000
```

Magnetic moment (μB/f.u.): 2.95



Least stable of them? version i.



Version i
CoBiPbW2: optimized geometry, PBE-GGA. Values from VASP.

Geometry as Quantum ESPRESSO input:
```
&SYSTEM
  ibrav = 0, nat = 5, ntyp = 4
/
ATOMIC_SPECIES
Co 58.93 Co.upf
Bi 208.98 Bi.upf
Pb 207.20 Pb.upf
W 183.84 W.upf
CELL_PARAMETERS angstrom
4.632 0.000 0.000
0.000 4.632 0.000
0.000 0.000 5.201
ATOMIC_POSITIONS crystal
Co 0.000 0.000 0.000
Bi 0.000 0.000 0.500
Pb 0.500 0.500 0.500
W 0.000 0.500 0.000
W 0.500 0.000 0.000
```

Magnetic moment (μB/f.u.): 1.33



Version ii
CoBiPbW2: optimized geometry, PBE-GGA. Values from VASP.

Geometry as Quantum ESPRESSO input:
```
&SYSTEM
  ibrav = 0, nat = 5, ntyp = 4
/
ATOMIC_SPECIES
Co 58.93 Co.upf
Bi 208.98 Bi.upf
Pb 207.20 Pb.upf
W 183.84 W.upf
CELL_PARAMETERS angstrom
5.095 0.000 0.000
0.000 5.095 0.000
0.000 0.000 5.795
ATOMIC_POSITIONS crystal
Co 0.000 0.000 0.000
Bi 0.500 0.500 0.500
Pb 0.500 0.500 0.000
W 0.000 0.500 0.500
W 0.500 0.000 0.500
```

Magnetic moment (μB/f.u.): 3.15



Least stable of them? version ii.



Version i
Pm3CoBi: optimized geometry, PBE-GGA. Values from VASP.

Geometry as Quantum ESPRESSO input:
```
&SYSTEM
  ibrav = 0, nat = 5, ntyp = 3
/
ATOMIC_SPECIES
Pm 145.00 Pm.upf
Co 58.93 Co.upf
Bi 208.98 Bi.upf
CELL_PARAMETERS angstrom
5.280 0.000 0.000
0.000 5.280 0.000
0.000 0.000 5.280
ATOMIC_POSITIONS crystal
Pm 0.000 0.000 0.500
Pm 0.000 0.500 0.000
Pm 0.500 0.000 0.000
Co 0.000 0.000 0.000
Bi 0.500 0.500 0.500
```

Magnetic moment (μB/f.u.): 0.00



Version ii
Pm3CoBi: optimized geometry, PBE-GGA. Values from VASP.

Geometry as Quantum ESPRESSO input:
```
&SYSTEM
  ibrav = 0, nat = 20, ntyp = 3
/
ATOMIC_SPECIES
Pm 145.00 Pm.upf
Co 58.93 Co.upf
Bi 208.98 Bi.upf
CELL_PARAMETERS angstrom
9.951 0.000 0.000
0.000 6.754 0.000
-3.731 0.000 9.017
ATOMIC_POSITIONS crystal
Pm 0.071 0.064 0.360
Pm 0.071 0.436 0.860
Pm 0.182 0.578 0.529
Pm 0.182 0.922 0.029
Pm 0.381 0.182 0.792
Pm 0.381 0.318 0.292
Pm 0.619 0.682 0.708
Pm 0.619 0.818 0.208
Pm 0.818 0.078 0.971
Pm 0.818 0.422 0.471
Pm 0.929 0.564 0.140
Pm 0.929 0.936 0.640
Co 0.089 0.248 0.620
Co 0.089 0.252 0.120
Co 0.911 0.748 0.880
Co 0.911 0.752 0.380
Bi 0.388 0.705 0.868
Bi 0.388 0.795 0.368
Bi 0.612 0.205 0.632
Bi 0.612 0.295 0.132
```

Magnetic moment (μB/f.u.): 0.00



Least stable of them? version ii.



Version i
CoBiPt3: optimized geometry, PBE-GGA. Values from VASP.

Geometry as Quantum ESPRESSO input:
```
&SYSTEM
  ibrav = 0, nat = 5, ntyp = 3
/
ATOMIC_SPECIES
Co 58.93 Co.upf
Bi 208.98 Bi.upf
Pt 195.08 Pt.upf
CELL_PARAMETERS angstrom
5.052 0.000 0.000
0.000 5.052 0.000
0.000 0.000 5.052
ATOMIC_POSITIONS crystal
Co 0.000 0.000 0.000
Bi 0.500 0.500 0.500
Pt 0.000 0.500 0.500
Pt 0.500 0.000 0.500
Pt 0.500 0.500 0.000
```

Magnetic moment (μB/f.u.): 2.17



Version ii
CoBiPt3: optimized geometry, PBE-GGA. Values from VASP.

Geometry as Quantum ESPRESSO input:
```
&SYSTEM
  ibrav = 0, nat = 5, ntyp = 3
/
ATOMIC_SPECIES
Co 58.93 Co.upf
Bi 208.98 Bi.upf
Pt 195.08 Pt.upf
CELL_PARAMETERS angstrom
4.648 0.000 0.000
0.000 4.648 0.000
0.000 0.000 4.648
ATOMIC_POSITIONS crystal
Co 0.000 0.000 0.000
Bi 0.500 0.500 0.500
Pt 0.000 0.000 0.500
Pt 0.000 0.500 0.000
Pt 0.500 0.000 0.000
```

Magnetic moment (μB/f.u.): 2.86



Least stable of them? version i.



Version i
Co3BiPt: optimized geometry, PBE-GGA. Values from VASP.

Geometry as Quantum ESPRESSO input:
```
&SYSTEM
  ibrav = 0, nat = 5, ntyp = 3
/
ATOMIC_SPECIES
Co 58.93 Co.upf
Bi 208.98 Bi.upf
Pt 195.08 Pt.upf
CELL_PARAMETERS angstrom
4.652 0.000 0.000
0.000 4.652 0.000
0.000 0.000 4.652
ATOMIC_POSITIONS crystal
Co 0.000 0.000 0.500
Co 0.000 0.500 0.000
Co 0.500 0.000 0.000
Bi 0.500 0.500 0.500
Pt 0.000 0.000 0.000
```

Magnetic moment (μB/f.u.): 6.24



Version ii
Co3BiPt: optimized geometry, PBE-GGA. Values from VASP.

Geometry as Quantum ESPRESSO input:
```
&SYSTEM
  ibrav = 0, nat = 5, ntyp = 3
/
ATOMIC_SPECIES
Co 58.93 Co.upf
Bi 208.98 Bi.upf
Pt 195.08 Pt.upf
CELL_PARAMETERS angstrom
4.685 0.000 0.000
0.000 4.685 0.000
0.000 0.000 4.685
ATOMIC_POSITIONS crystal
Co 0.000 0.000 0.500
Co 0.000 0.500 0.000
Co 0.500 0.000 0.000
Bi 0.000 0.000 0.000
Pt 0.500 0.500 0.500
```

Magnetic moment (μB/f.u.): 4.38



Least stable of them? version ii.



Version i
Pu2CoBi: optimized geometry, PBE-GGA. Values from VASP.

Geometry as Quantum ESPRESSO input:
```
&SYSTEM
  ibrav = 0, nat = 4, ntyp = 3
/
ATOMIC_SPECIES
Pu 244.00 Pu.upf
Co 58.93 Co.upf
Bi 208.98 Bi.upf
CELL_PARAMETERS angstrom
1.789 1.033 9.807
-1.789 1.033 9.807
0.000 -2.066 9.807
ATOMIC_POSITIONS crystal
Pu 0.111 0.111 0.111
Pu 0.889 0.889 0.889
Co 0.500 0.500 0.500
Bi 0.000 0.000 0.000
```

Magnetic moment (μB/f.u.): 10.43



Version ii
Pu2CoBi: optimized geometry, PBE-GGA. Values from VASP.

Geometry as Quantum ESPRESSO input:
```
&SYSTEM
  ibrav = 0, nat = 4, ntyp = 3
/
ATOMIC_SPECIES
Pu 244.00 Pu.upf
Co 58.93 Co.upf
Bi 208.98 Bi.upf
CELL_PARAMETERS angstrom
3.312 0.000 0.000
0.000 3.312 0.000
0.000 0.000 8.568
ATOMIC_POSITIONS crystal
Pu 0.000 0.000 0.193
Pu 0.000 0.000 0.807
Co 0.500 0.500 0.000
Bi 0.500 0.500 0.500
```

Magnetic moment (μB/f.u.): 10.21



Least stable of them? version i.



Version i
RbCoBi3: optimized geometry, PBE-GGA. Values from VASP.

Geometry as Quantum ESPRESSO input:
```
&SYSTEM
  ibrav = 0, nat = 5, ntyp = 3
/
ATOMIC_SPECIES
Rb 85.47 Rb.upf
Co 58.93 Co.upf
Bi 208.98 Bi.upf
CELL_PARAMETERS angstrom
6.087 0.000 0.000
0.000 6.087 0.000
0.000 0.000 6.087
ATOMIC_POSITIONS crystal
Rb 0.000 0.000 0.000
Co 0.500 0.500 0.500
Bi 0.000 0.000 0.500
Bi 0.000 0.500 0.000
Bi 0.500 0.000 0.000
```

Magnetic moment (μB/f.u.): 3.00



Version ii
RbCoBi3: optimized geometry, PBE-GGA. Values from VASP.

Geometry as Quantum ESPRESSO input:
```
&SYSTEM
  ibrav = 0, nat = 5, ntyp = 3
/
ATOMIC_SPECIES
Rb 85.47 Rb.upf
Co 58.93 Co.upf
Bi 208.98 Bi.upf
CELL_PARAMETERS angstrom
5.354 0.000 0.000
0.000 5.354 0.000
0.000 0.000 5.354
ATOMIC_POSITIONS crystal
Rb 0.000 0.000 0.000
Co 0.500 0.500 0.500
Bi 0.000 0.500 0.500
Bi 0.500 0.000 0.500
Bi 0.500 0.500 0.000
```

Magnetic moment (μB/f.u.): 0.00



Least stable of them? version i.



Version i
CoReBi2: optimized geometry, PBE-GGA. Values from VASP.

Geometry as Quantum ESPRESSO input:
```
&SYSTEM
  ibrav = 0, nat = 4, ntyp = 3
/
ATOMIC_SPECIES
Co 58.93 Co.upf
Re 186.21 Re.upf
Bi 208.98 Bi.upf
CELL_PARAMETERS angstrom
0.000 3.390 3.390
3.390 0.000 3.390
3.390 3.390 0.000
ATOMIC_POSITIONS crystal
Co 0.000 0.000 0.000
Re 0.500 0.500 0.500
Bi 0.250 0.250 0.250
Bi 0.750 0.750 0.750
```

Magnetic moment (μB/f.u.): 1.51



Version ii
CoReBi2: optimized geometry, PBE-GGA. Values from VASP.

Geometry as Quantum ESPRESSO input:
```
&SYSTEM
  ibrav = 0, nat = 8, ntyp = 3
/
ATOMIC_SPECIES
Co 58.93 Co.upf
Re 186.21 Re.upf
Bi 208.98 Bi.upf
CELL_PARAMETERS angstrom
-3.033 3.033 5.979
3.033 -3.033 5.979
3.033 3.033 -5.979
ATOMIC_POSITIONS crystal
Co 0.000 0.000 0.000
Co 0.750 0.250 0.500
Re 0.250 0.750 0.500
Re 0.500 0.500 0.000
Bi 0.107 0.625 0.982
Bi 0.375 0.357 0.482
Bi 0.643 0.125 0.018
Bi 0.875 0.893 0.518
```

Magnetic moment (μB/f.u.): 0.00



Least stable of them? version ii.



Version i
CoBiSb3: optimized geometry, PBE-GGA. Values from VASP.

Geometry as Quantum ESPRESSO input:
```
&SYSTEM
  ibrav = 0, nat = 10, ntyp = 3
/
ATOMIC_SPECIES
Co 58.93 Co.upf
Bi 208.98 Bi.upf
Sb 121.76 Sb.upf
CELL_PARAMETERS angstrom
6.929 0.000 0.000
0.000 4.894 0.000
-0.024 0.000 7.587
ATOMIC_POSITIONS crystal
Co 0.002 0.000 0.250
Co 0.998 0.500 0.750
Bi 0.325 0.793 0.751
Bi 0.675 0.293 0.249
Sb 0.166 0.254 0.500
Sb 0.166 0.255 0.001
Sb 0.301 0.705 0.251
Sb 0.699 0.205 0.749
Sb 0.834 0.754 0.500
Sb 0.834 0.755 0.999
```

Magnetic moment (μB/f.u.): 0.00



Version ii
CoBiSb3: optimized geometry, PBE-GGA. Values from VASP.

Geometry as Quantum ESPRESSO input:
```
&SYSTEM
  ibrav = 0, nat = 5, ntyp = 3
/
ATOMIC_SPECIES
Co 58.93 Co.upf
Bi 208.98 Bi.upf
Sb 121.76 Sb.upf
CELL_PARAMETERS angstrom
5.040 0.000 0.000
0.000 5.040 0.000
0.000 0.000 5.040
ATOMIC_POSITIONS crystal
Co 0.000 0.000 0.000
Bi 0.500 0.500 0.500
Sb 0.000 0.000 0.500
Sb 0.000 0.500 0.000
Sb 0.500 0.000 0.000
```

Magnetic moment (μB/f.u.): 0.00



Least stable of them? version ii.